Below is a geometry-optimized SmRe4Si2 structure, with properties calculated at the PBEsol level.

The space group is P4_2/mnm (No. 136) and the conventional cell measures 7.3865, 7.3865 and 4.0951 Å, with angles of 90.00, 90.00 and 90.00 degrees. The inequivalent atoms are Sm at (0.0000, 0.0000, 0.0000), Re at (0.0926, 0.3431, 0.5000) and Si at (0.2094, 0.7906, 0.5000).

Its total energy is -73.3 eV/f.u. Its energy relative to the elements, uncorrected is -0.478 eV/atom. Its size of the total moment is 0.00 μB per formula unit.

Below is a geometry-optimized ZnCr2Si structure, with properties calculated at the PBEsol level.

The space group is F-43m (No. 216) and the conventional cell measures 5.7373, 5.7373 and 5.7373 Å, with angles of 90.00, 90.00 and 90.00 degrees. The inequivalent atoms are Zn at (0.0000, 0.0000, 0.0000), Cr at (0.0000, 0.0000, 0.5000), Cr at (0.2500, 0.2500, 0.7500) and Si at (0.2500, 0.2500, 0.2500).

Its total energy is -27.6 eV/f.u. Its energy relative to the elements, uncorrected is 0.050 eV/atom. Its size of the total moment is 0.01 μB per formula unit.

Below is a geometry-optimized CsYTc2 structure, with properties calculated at the PBEsol level.

The space group is Fm-3m (No. 225) and the conventional cell measures 6.8601, 6.8601 and 6.8601 Å, with angles of 90.00, 90.00 and 90.00 degrees. The inequivalent atoms are Cs at (0.0000, 0.0000, 0.0000), Y at (0.0000, 0.0000, 0.5000) and Tc at (0.2500, 0.2500, 0.2500).

Its total energy is -24.1 eV/f.u. Its size of the total moment is 0.00 μB per formula unit.

Below is a geometry-optimized NbAg3B structure, with properties calculated at the PBEsol level.

The space group is Pm-3m (No. 221) and the conventional cell measures 4.2737, 4.2737 and 4.2737 Å, with angles of 90.00, 90.00 and 90.00 degrees. The inequivalent atoms are Nb at (0.0000, 0.0000, 0.0000), Ag at (0.0000, 0.5000, 0.5000) and B at (0.5000, 0.5000, 0.5000).

Its total energy is -24.1 eV/f.u. Its size of the total moment is 0.69 μB per formula unit.

Below is a geometry-optimized ReTcRu structure, with properties calculated at the PBEsol level.

The space group is F-43m (No. 216) and the conventional cell measures 5.8269, 5.8269 and 5.8269 Å, with angles of 90.00, 90.00 and 90.00 degrees. The inequivalent atoms are Re at (0.0000, 0.0000, 0.0000), Tc at (0.0000, 0.0000, 0.5000) and Ru at (0.2500, 0.2500, 0.2500).

Its total energy is -32.1 eV/f.u. Its size of the total moment is 0.00 μB per formula unit.

Below is a geometry-optimized BeC structure, with properties calculated at the PBEsol level.

The space group is Pmmn (No. 59, origin choice 2) and the conventional cell measures 1.9324, 3.0138 and 5.5093 Å, with angles of 90.00, 90.00 and 90.00 degrees. The inequivalent atoms are Be at (0.2500, 0.2500, 0.1605) and C at (0.2500, 0.2500, 0.7822).

Its total energy is -11.5 eV/f.u. The calculation puts the distance to the lowest polymorph of the same formula at 391 meV/atom. Its size of the total moment is 0.00 μB per formula unit.

Below is a geometry-optimized NbCuP3 structure, with properties calculated at the PBEsol level.

The space group is Pm-3m (No. 221) and the conventional cell measures 4.7373, 4.7373 and 4.7373 Å, with angles of 90.00, 90.00 and 90.00 degrees. The inequivalent atoms are Nb at (0.0000, 0.0000, 0.0000), Cu at (0.5000, 0.5000, 0.5000) and P at (0.0000, 0.0000, 0.5000).

Its total energy is -28.7 eV/f.u. The calculation puts the distance to the lowest polymorph of the same formula at 0 meV/atom. Its size of the total moment is 0.00 μB per formula unit.

Below is a geometry-optimized VAsO5 structure, with properties calculated at the PBEsol level.

The space group is P2_1/c (No. 14) and the conventional cell measures 6.3492, 8.4727 and 8.9692 Å, with angles of 90.00, 134.78 and 90.00 degrees. The inequivalent atoms are V at (0.1241, 0.1746, 0.1572), As at (0.3765, 0.7477, 0.8428), O at (0.1102, 0.1404, 0.6394), O at (0.1257, 0.6179, 0.6384), O at (0.2137, 0.6319, 0.3900), O at (0.3500, 0.1368, 0.4404) and O at (0.4641, 0.1334, 0.2091).

Its total energy is -52.7 eV/f.u. The calculation puts the distance to the lowest polymorph of the same formula at 7 meV/atom. Its energy relative to the elements, uncorrected is -1.673 eV/atom. Its size of the total moment is 0.00 μB per formula unit.